This record from Alexandria describes a relaxed TiBrOF2 crystal. The functional is GGA-PBEsol.

Summary:
For the calculated density, the calculation gives 3.6 Mg/m³. The calculation puts the energy relative to the elements, uncorrected at -0.10 eV/atom.

Lattice parameters (Å, degrees): 4.773 4.773 3.683 90.00 90.00 90.00
Space group P4/mmm (No. 123)
Unique sites:
1 Ti 0.000 0.000 0.000 [1 per cell]
2 Br 0.500 0.500 0.500 [1 per cell]
3 O 0.500 0.500 0.000 [1 per cell]
4 F 0.000 0.500 0.500 [2 per cell]

=====

This record from Alexandria describes a relaxed ZnBrO2F crystal. The functional is GGA-PBEsol.

Summary:
For the calculated density, the calculation gives 4.4 Mg/m³. The calculation puts the energy relative to the elements, uncorrected at 0.15 eV/atom.

Lattice parameters (Å, degrees): 3.736 3.736 5.316 90.00 90.00 90.00
Space group P4/mmm (No. 123)
Unique sites:
1 Zn 0.000 0.000 0.000 [1 per cell]
2 Br 0.500 0.500 0.500 [1 per cell]
3 O 0.000 0.500 0.500 [2 per cell]
4 F 0.500 0.500 0.000 [1 per cell]

=====

This record from Alexandria describes a relaxed OsSe2BrF crystal. The functional is GGA-PBEsol.

Summary:
For the calculated density, the calculation gives 7.8 Mg/m³. The calculation puts the energy relative to the elements, uncorrected at 0.02 eV/atom.

Lattice parameters (Å, degrees): 4.832 4.832 4.095 90.00 90.00 90.00
Space group P4/mmm (No. 123)
Unique sites:
1 Os 0.000 0.000 0.000 [1 per cell]
2 Se 0.000 0.500 0.000 [2 per cell]
3 Br 0.500 0.500 0.500 [1 per cell]
4 F 0.000 0.000 0.500 [1 per cell]

=====

This record from Alexandria describes a relaxed TaOs2BrF crystal. The functional is GGA-PBEsol.

Summary:
For the calculated density, the calculation gives 14.1 Mg/m³. The calculation puts the energy relative to the elements, uncorrected at 1.39 eV/atom.

Lattice parameters (Å, degrees): 4.043 4.043 4.775 90.00 90.00 90.00
Space group P4/mmm (No. 123)
Unique sites:
1 Ta 0.000 0.000 0.000 [1 per cell]
2 Os 0.000 0.500 0.500 [2 per cell]
3 Br 0.500 0.500 0.000 [1 per cell]
4 F 0.500 0.500 0.500 [1 per cell]

=====

This record from Alexandria describes a relaxed Pb3BrF crystal. The functional is GGA-PBEsol.

Summary:
For the calculated density, the calculation gives 6.7 Mg/m³. The calculation puts the energy relative to the elements, uncorrected at 0.26 eV/atom.

Lattice parameters (Å, degrees): 5.642 5.642 5.642 90.00 90.00 90.00
Space group Pm-3m (No. 221)
Unique sites:
1 Pb 0.000 0.000 0.500 [3 per cell]
2 Br 0.000 0.000 0.000 [1 per cell]
3 F 0.500 0.500 0.500 [1 per cell]

=====

This record from Alexandria describes a relaxed Pb7Br2F12 crystal. The functional is GGA-PBEsol.

Summary:
For the calculated density, the calculation gives 8.5 Mg/m³. The calculation puts the energy relative to the elements, uncorrected at -2.16 eV/atom.

Lattice parameters (Å, degrees): 10.2578 10.2578 3.9634 90.00 90.00 120.00
Space group P-6 (No. 174)
Unique sites:
1 Pb 0.0000 0.0000 0.0000 [1 per cell]
2 Pb 0.1039 0.6942 0.0000 [3 per cell]
3 Pb 0.3963 0.1081 0.5000 [3 per cell]
4 Br 0.3333 0.6667 0.5000 [1 per cell]
5 Br 0.6667 0.3333 0.0000 [1 per cell]
6 F 0.0519 0.4327 0.0000 [3 per cell]
7 F 0.0815 0.2079 0.5000 [3 per cell]
8 F 0.2764 0.1593 0.0000 [3 per cell]
9 F 0.4270 0.3858 0.5000 [3 per cell]

=====

- Among the records above, which one has the highest energy relative to the elements, uncorrected?
  TaOs2BrF

=====

Please write out number 1 again, unchanged.
This record from Alexandria describes a relaxed TiBrOF2 crystal. The functional is GGA-PBEsol.

Summary:
For the calculated density, the calculation gives 3.6 Mg/m³. The calculation puts the energy relative to the elements, uncorrected at -0.10 eV/atom.

Lattice parameters (Å, degrees): 4.773 4.773 3.683 90.00 90.00 90.00
Space group P4/mmm (No. 123)
Unique sites:
1 Ti 0.000 0.000 0.000 [1 per cell]
2 Br 0.500 0.500 0.500 [1 per cell]
3 O 0.500 0.500 0.000 [1 per cell]
4 F 0.000 0.500 0.500 [2 per cell]

=====

- Look up the calculated density of the second one.
  4.4 Mg/m³

=====

- Look up the calculated density of the first one.
  3.6 Mg/m³